# GGA+U NaMoO4, optimized geometry
data_NaMoO4
_cell_length_a 4.064
_cell_length_b 7.668
_cell_length_c 6.214
_cell_angle_alpha 90.00
_cell_angle_beta 94.70
_cell_angle_gamma 90.00
_space_group_name_H-M_alt 'P 1'
_space_group_IT_number 1
_space_group_name_Hall 'P 1'
loop_
_atom_site_label
_atom_site_type_symbol
_atom_site_fract_x
_atom_site_fract_y
_atom_site_fract_z
_atom_site_occupancy
Na1 Na 0.141 0.250 0.154 1
Na2 Na 0.859 0.750 0.846 1
Mo1 Mo 0.332 0.750 0.342 1
Mo2 Mo 0.668 0.250 0.658 1
O1 O 0.211 0.250 0.668 1
O2 O 0.241 0.553 0.190 1
O3 O 0.241 0.947 0.190 1
O4 O 0.310 0.750 0.630 1
O5 O 0.690 0.250 0.370 1
O6 O 0.759 0.053 0.810 1
O7 O 0.759 0.447 0.810 1
O8 O 0.789 0.750 0.332 1
# Offset from the most stable computed form (eV/f.u.): 0.26
# VASP energy (eV per atom): -6.054
# Total moment (μB/atom): 0.17